Record 1
# PBE Y7Ho2Tm2, optimized geometry
# calculated volume: 354.0 Å³/f.u.
# D(E_F): 37.2 states/eV per cell
# DFT formation energy: 0.1164 eV/atom
# final energy: -5.642 eV/atom
# relative energy among the computed polymorphs: 0.017 eV/atom
data_Y7Ho2Tm2
_cell_length_a 5.5038
_cell_length_b 15.8178
_cell_length_c 8.1331
_cell_angle_alpha 90.00
_cell_angle_beta 90.00
_cell_angle_gamma 90.00
_symmetry_space_group_name_H-M 'I m m 2'
_symmetry_Int_Tables_number 44
loop_
_symmetry_equiv_pos_as_xyz
'x,y,z'
'-x,-y,z'
'-x,y,z'
'x,-y,z'
'x+1/2,y+1/2,z+1/2'
'-x+1/2,-y+1/2,z+1/2'
'-x+1/2,y+1/2,z+1/2'
'x+1/2,-y+1/2,z+1/2'
loop_
_atom_site_label
_atom_site_fract_x
_atom_site_fract_y
_atom_site_fract_z
_atom_site_occupancy
Y1 0.0000 0.0000 0.0000 1
Y2 0.0000 0.1609 0.2979 1
Y3 0.0000 0.3612 0.5070 1
Y4 0.0000 0.3636 0.0922 1
Ho1 0.0000 0.2008 0.7991 1
Tm1 0.0000 0.0000 0.5868 1
Tm2 0.0000 0.5000 0.7981 1

---

Record 2
# PBE Na2SrLiAg, optimized geometry
# calculated volume: 169.8 Å³/f.u.
# D(E_F): 3.0 states/eV per cell
# DFT formation energy: 0.0826 eV/atom
# final energy: -1.734 eV/atom
data_Na2SrLiAg
_cell_length_a 5.7147
_cell_length_b 5.7147
_cell_length_c 5.1984
_cell_angle_alpha 90.00
_cell_angle_beta 90.00
_cell_angle_gamma 90.00
_symmetry_space_group_name_H-M 'P 4/m m m'
_symmetry_Int_Tables_number 123
_symmetry_space_group_name_Hall '-P 4 2'
loop_
_atom_site_label
_atom_site_fract_x
_atom_site_fract_y
_atom_site_fract_z
_atom_site_occupancy
Na1 0.0000 0.5000 0.0000 1
Sr1 0.0000 0.0000 0.5000 1
Li1 0.5000 0.5000 0.5000 1
Ag1 0.5000 0.5000 0.0000 1

---

Record 3
# PBE CuSiBr2, optimized geometry
# calculated volume: 116.1 Å³/f.u.
# D(E_F): 0.7 states/eV per cell
# final energy: -3.313 eV/atom
# relative energy among the computed polymorphs: 0.001 eV/atom
# ΔE_f (raw): -0.4 eV/f.u.
data_CuSiBr2
_cell_length_a 4.9628
_cell_length_b 3.5909
_cell_length_c 6.8246
_cell_angle_alpha 90.00
_cell_angle_beta 107.25
_cell_angle_gamma 90.00
_symmetry_space_group_name_H-M 'P 1 m 1'
_symmetry_Int_Tables_number 6
loop_
_symmetry_equiv_pos_as_xyz
'x,y,z'
'x,-y,z'
loop_
_atom_site_label
_atom_site_fract_x
_atom_site_fract_y
_atom_site_fract_z
_atom_site_occupancy
Cu1 0.0000 0.0000 0.0000 1
Si1 0.7448 0.5000 0.0548 1
Br1 0.3141 0.0000 0.7975 1
Br2 0.5481 0.5000 0.3137 1

---

Record 4
# PBE LiBeSeO4, optimized geometry
# calculated volume: 82.3 Å³/f.u.
# D(E_F): 1.9 states/eV per cell
# final energy: -5.542 eV/atom
# ΔE_f (raw): -9.8 eV/f.u.
data_LiBeSeO4
_cell_length_a 4.6927
_cell_length_b 4.6927
_cell_length_c 7.4725
_cell_angle_alpha 90.00
_cell_angle_beta 90.00
_cell_angle_gamma 90.00
_symmetry_space_group_name_H-M 'I -4'
_symmetry_Int_Tables_number 82
loop_
_symmetry_equiv_pos_as_xyz
'x,y,z'
'y,-x,-z'
'-x,-y,z'
'-y,x,-z'
'x+1/2,y+1/2,z+1/2'
'y+1/2,-x+1/2,-z+1/2'
'-x+1/2,-y+1/2,z+1/2'
'-y+1/2,x+1/2,-z+1/2'
loop_
_atom_site_label
_atom_site_fract_x
_atom_site_fract_y
_atom_site_fract_z
_atom_site_occupancy
Li1 0.0000 0.0000 0.0000 1
Be1 0.0000 0.5000 0.7500 1
Se1 0.0000 0.0000 0.5000 1
O1 0.1834 0.2742 0.6277 1

---

Record 5
# PBE NaPt2Se2, optimized geometry
# calculated volume: 101.1 Å³/f.u.
# D(E_F): 6.4 states/eV per cell
# final energy: -4.268 eV/atom
# ΔE_f (raw): -1.0 eV/f.u.
data_NaPt2Se2
_cell_length_a 4.0206
_cell_length_b 4.0206
_cell_length_c 12.5117
_cell_angle_alpha 90.00
_cell_angle_beta 90.00
_cell_angle_gamma 90.00
_symmetry_space_group_name_H-M 'I 4/m m m'
_symmetry_Int_Tables_number 139
_symmetry_space_group_name_Hall '-I 4 2'
loop_
_atom_site_label
_atom_site_fract_x
_atom_site_fract_y
_atom_site_fract_z
_atom_site_occupancy
Na1 0.0000 0.0000 0.0000 1
Pt1 0.0000 0.5000 0.2500 1
Se1 0.0000 0.0000 0.3867 1

---

Record 6
# PBE Zr4MoCl, optimized geometry
# calculated volume: 133.3 Å³/f.u.
# D(E_F): 26.7 states/eV per cell
# final energy: -7.053 eV/atom
# ΔE_f (raw): 4.6 eV/f.u.
data_Zr4MoCl
_cell_length_a 8.1084
_cell_length_b 8.1084
_cell_length_c 8.1084
_cell_angle_alpha 90.00
_cell_angle_beta 90.00
_cell_angle_gamma 90.00
_symmetry_space_group_name_H-M 'F -4 3 m'
_symmetry_Int_Tables_number 216
_symmetry_space_group_name_Hall 'F -4 2 3'
loop_
_atom_site_label
_atom_site_fract_x
_atom_site_fract_y
_atom_site_fract_z
_atom_site_occupancy
Zr1 0.1218 0.1218 0.3782 1
Mo1 0.2500 0.2500 0.7500 1
Cl1 0.0000 0.0000 0.0000 1

---

Record 7
# PBE Sr2WSe, optimized geometry
# calculated volume: 138.8 Å³/f.u.
# D(E_F): 1.2 states/eV per cell
# final energy: -4.383 eV/atom
# ΔE_f (raw): 2.3 eV/f.u.
data_Sr2WSe
_cell_length_a 8.3359
_cell_length_b 8.3359
_cell_length_c 7.9921
_cell_angle_alpha 90.00
_cell_angle_beta 90.00
_cell_angle_gamma 90.00
_symmetry_space_group_name_H-M 'I -4 2 d'
_symmetry_Int_Tables_number 122
_symmetry_space_group_name_Hall 'I -4 2bw'
loop_
_atom_site_label
_atom_site_fract_x
_atom_site_fract_y
_atom_site_fract_z
_atom_site_occupancy
Sr1 0.2253 0.7500 0.1250 1
W1 0.0000 0.0000 0.5000 1
Se1 0.0000 0.0000 0.0000 1

---

Record 8
# PBE PSN2, optimized geometry
# calculated volume: 39.9 Å³/f.u.
# D(E_F): 6.4 states/eV per cell
# final energy: -4.342 eV/atom
# relative energy among the computed polymorphs: 1.755 eV/atom
# ΔE_f (raw): 8.8 eV/f.u.
data_PSN2
_cell_length_a 5.4227
_cell_length_b 5.4227
_cell_length_c 5.4227
_cell_angle_alpha 90.00
_cell_angle_beta 90.00
_cell_angle_gamma 90.00
_symmetry_space_group_name_H-M 'F m -3 m'
_symmetry_Int_Tables_number 225
_symmetry_space_group_name_Hall '-F 4 2 3'
loop_
_atom_site_label
_atom_site_fract_x
_atom_site_fract_y
_atom_site_fract_z
_atom_site_occupancy
P1 0.0000 0.0000 0.0000 1
S1 0.0000 0.0000 0.5000 1
N1 0.2500 0.2500 0.2500 1

---

Record 9
# PBE MgMoPPt2, optimized geometry
# calculated volume: 96.7 Å³/f.u.
# D(E_F): 6.7 states/eV per cell
# DFT formation energy: 1.4928 eV/atom
# final energy: -4.491 eV/atom
data_MgMoPPt2
_cell_length_a 4.4979
_cell_length_b 4.4979
_cell_length_c 4.7789
_cell_angle_alpha 90.00
_cell_angle_beta 90.00
_cell_angle_gamma 90.00
_symmetry_space_group_name_H-M 'P 4/m m m'
_symmetry_Int_Tables_number 123
_symmetry_space_group_name_Hall '-P 4 2'
loop_
_atom_site_label
_atom_site_fract_x
_atom_site_fract_y
_atom_site_fract_z
_atom_site_occupancy
Mg1 0.0000 0.0000 0.0000 1
Mo1 0.0000 0.0000 0.5000 1
P1 0.5000 0.5000 0.5000 1
Pt1 0.0000 0.5000 0.0000 1

---

Record 10
# PBE KH2OsBr4N, optimized geometry
# calculated volume: 285.1 Å³/f.u.
# final energy: -3.927 eV/atom
data_KH2OsBr4N
_cell_length_a 9.1078
_cell_length_b 15.3370
_cell_length_c 8.1633
_cell_angle_alpha 90.00
_cell_angle_beta 90.00
_cell_angle_gamma 90.00
_symmetry_space_group_name_H-M 'C m c 21'
_symmetry_Int_Tables_number 36
loop_
_symmetry_equiv_pos_as_xyz
'x,y,z'
'-x,-y,z+1/2'
'-x,y,z'
'x,-y,z+1/2'
'x+1/2,y+1/2,z'
'-x+1/2,-y+1/2,z+1/2'
'-x+1/2,y+1/2,z'
'x+1/2,-y+1/2,z+1/2'
loop_
_atom_site_label
_atom_site_fract_x
_atom_site_fract_y
_atom_site_fract_z
_atom_site_occupancy
K1 0.0000 0.1956 0.0000 1
H1 0.0000 0.1345 0.5554 1
H2 0.0000 0.2749 0.7227 1
Os1 0.0000 0.3033 0.5136 1
Br1 0.1798 0.1667 0.5505 1
Br2 0.1878 0.4167 0.5512 1
N1 0.0000 0.2762 0.3121 1

---

Record 11
# PBE K2NiAg2Cl6, optimized geometry
# calculated volume: 339.7 Å³/f.u.
# final energy: -3.257 eV/atom
# ΔE_f (raw): -11.1 eV/f.u.
data_K2NiAg2Cl6
_cell_length_a 7.6067
_cell_length_b 13.0994
_cell_length_c 6.8808
_cell_angle_alpha 90.00
_cell_angle_beta 97.68
_cell_angle_gamma 90.00
_symmetry_space_group_name_H-M 'C 1 2/m 1'
_symmetry_Int_Tables_number 12
loop_
_symmetry_equiv_pos_as_xyz
'x,y,z'
'-x,-y,-z'
'-x,y,-z'
'x,-y,z'
'x+1/2,y+1/2,z'
'-x+1/2,-y+1/2,-z'
'-x+1/2,y+1/2,-z'
'x+1/2,-y+1/2,z'
loop_
_atom_site_label
_atom_site_fract_x
_atom_site_fract_y
_atom_site_fract_z
_atom_site_occupancy
K1 0.0000 0.1633 0.0000 1
Ni1 0.0000 0.5000 0.0000 1
Ag1 0.0000 0.3852 0.5000 1
Cl1 0.1549 0.3653 0.2100 1
Cl2 0.2330 0.5000 0.7966 1

---

Record 12
# PBE Y2BeCoB, optimized geometry
# calculated volume: 90.2 Å³/f.u.
# D(E_F): 4.6 states/eV per cell
# DFT formation energy: 0.0742 eV/atom
# final energy: -6.013 eV/atom
data_Y2BeCoB
_cell_length_a 5.0308
_cell_length_b 5.0308
_cell_length_c 3.5659
_cell_angle_alpha 90.00
_cell_angle_beta 90.00
_cell_angle_gamma 90.00
_symmetry_space_group_name_H-M 'P 4/m m m'
_symmetry_Int_Tables_number 123
_symmetry_space_group_name_Hall '-P 4 2'
loop_
_atom_site_label
_atom_site_fract_x
_atom_site_fract_y
_atom_site_fract_z
_atom_site_occupancy
Y1 0.0000 0.5000 0.0000 1
Be1 0.0000 0.0000 0.5000 1
Co1 0.5000 0.5000 0.5000 1
B1 0.0000 0.0000 0.0000 1